The following is a DFT calculation (PBE+U) of ScNiF2 after structural relaxation.

Properties
calculated volume = 66.0 Å³/cell
total magnetic moment = 1.23 μB per cell
E = -4.843 eV/atom
excess energy over the best structure of this formula in the dataset = 0 meV per atom

a b c (Å): 8.8570 8.8570 8.8570
angles (deg): 19.25 19.25 19.25
Last column: magnetic moment on the atom in μB.
Positions (direct):
1 Sc 0.5000 0.5000 0.5000  0.09
2 Ni 0.0000 0.0000 0.0000  1.31
3 F 0.8833 0.8833 0.8833  0.00
4 F 0.1167 0.1167 0.1167  0.00